1.
Density functional theory data (PBE with a Hubbard U) for a relaxed Be3VO crystal.

Unit cell a=4.436 b=4.436 c=4.436 alpha=90.00 beta=90.00 gamma=90.00
Space group Pm-3m (No. 221)
Symmetry-distinct sites (fractional):
Be: 0.000 0.000 0.500
V: 0.000 0.000 0.000
O: 0.500 0.500 0.500

- E_tot: -12.4 eV per cell
- E above lowest polymorph: 2257.6 meV/atom
- Volume: 87.3 Å³/f.u.

***

2.
Density functional theory data (PBE with a Hubbard U) for a relaxed BeVO3 crystal.

Unit cell a=3.427 b=3.427 c=3.427 alpha=90.00 beta=90.00 gamma=90.00
Space group Pm-3m (No. 221)
Symmetry-distinct sites (fractional):
Be: 0.000 0.000 0.000
V: 0.500 0.500 0.500
O: 0.000 0.000 0.500

- E_tot: -32.4 eV per cell
- Volume: 40.2 Å³/f.u.